DFT (PBE) results for an optimized crystal structure of Er2ZnCu3.

Calculated values
VASP energy in eV/atom: -4.09
Formation energy in eV per atom: -0.306
D(E_F) in states/eV/atom: 0.67

a b c (Å): 4.309 5.554 5.364
angles (deg): 76.77 66.32 67.17
Fractional coordinates of all 6 atoms:
Cu 0.833 0.613 0.722
Cu 0.162 0.790 0.886
Cu 0.838 0.211 0.114
Er 0.453 0.796 0.298
Er 0.547 0.201 0.706
Zn 0.167 0.390 0.275

DFT (PBE) results for an optimized crystal structure of Er3Zn2Cu.

Calculated values
VASP energy in eV/atom: -3.71
Formation energy in eV per atom: -0.318
D(E_F) in states/eV/atom: 0.75

a b c (Å): 4.959 4.959 12.120
angles (deg): 90.00 90.00 120.00
Fractional coordinates of all 12 atoms:
Er 0.333 0.667 0.416
Er 0.667 0.333 0.584
Er 0.000 0.000 0.253
Er 0.667 0.333 0.087
Er 0.333 0.667 0.913
Er 0.000 0.000 0.747
Zn 0.000 0.000 0.500
Zn 0.667 0.333 0.838
Zn 0.333 0.667 0.162
Zn 0.000 0.000 0.000
Cu 0.333 0.667 0.663
Cu 0.667 0.333 0.337

DFT (PBE) results for an optimized crystal structure of ErZnCu11.

Calculated values
VASP energy in eV/atom: -4.01
Formation energy in eV per atom: -0.098
D(E_F) in states/eV/atom: 0.39

a b c (Å): 4.852 6.498 6.442
angles (deg): 82.04 67.87 68.42
Fractional coordinates of all 13 atoms:
Cu 0.720 0.781 0.779
Cu 0.499 0.781 0.221
Cu 0.000 0.000 0.500
Cu 0.280 0.219 0.221
Cu 0.000 0.500 0.000
Cu 0.010 0.352 0.642
Cu 0.990 0.648 0.358
Cu 0.652 0.352 0.358
Cu 0.501 0.219 0.779
Cu 0.500 0.000 0.500
Cu 0.348 0.648 0.642
Er 0.000 0.000 0.000
Zn 0.500 0.500 0.000

DFT (PBE) results for an optimized crystal structure of ErZn12Cu6.

Calculated values
VASP energy in eV/atom: -2.38
Formation energy in eV per atom: -0.037
D(E_F) in states/eV/atom: 0.21

a b c (Å): 6.950 6.950 6.950
angles (deg): 104.87 104.87 104.87
Fractional coordinates of all 19 atoms:
Zn 0.137 0.390 0.390
Zn 0.863 0.610 0.610
Zn 0.390 0.137 0.390
Zn 0.610 0.610 0.863
Zn 0.500 0.113 0.887
Zn 0.887 0.500 0.113
Zn 0.390 0.390 0.137
Zn 0.500 0.887 0.113
Zn 0.113 0.500 0.887
Zn 0.610 0.863 0.610
Zn 0.887 0.113 0.500
Zn 0.113 0.887 0.500
Cu 0.286 0.286 0.705
Cu 0.286 0.705 0.286
Cu 0.295 0.714 0.714
Cu 0.705 0.286 0.286
Cu 0.714 0.295 0.714
Cu 0.714 0.714 0.295
Er 0.000 0.000 0.000

DFT (PBE) results for an optimized crystal structure of ErZn2Cu3.

Calculated values
VASP energy in eV/atom: -3.44
Formation energy in eV per atom: -0.205
D(E_F) in states/eV/atom: 0.47

a b c (Å): 4.256 4.256 12.031
angles (deg): 90.00 90.00 120.00
Fractional coordinates of all 12 atoms:
Cu 0.667 0.333 0.872
Cu 0.000 0.000 0.500
Cu 0.333 0.667 0.128
Cu 0.667 0.333 0.628
Cu 0.000 0.000 0.000
Cu 0.333 0.667 0.372
Zn 0.333 0.667 0.919
Zn 0.333 0.667 0.581
Zn 0.667 0.333 0.419
Zn 0.667 0.333 0.081
Er 0.000 0.000 0.750
Er 0.000 0.000 0.250

DFT (PBE) results for an optimized crystal structure of Er3Zn7Cu2.

Calculated values
VASP energy in eV/atom: -2.86
Formation energy in eV per atom: -0.295
D(E_F) in states/eV/atom: 0.68

a b c (Å): 5.329 5.329 9.078
angles (deg): 72.93 72.93 60.00
Fractional coordinates of all 12 atoms:
Zn 0.076 0.582 0.759
Zn 0.418 0.924 0.241
Zn 0.418 0.418 0.241
Zn 0.924 0.418 0.241
Zn 0.582 0.582 0.759
Zn 0.500 0.500 0.500
Zn 0.582 0.076 0.759
Er 0.000 0.000 0.000
Er 0.859 0.859 0.424
Er 0.141 0.141 0.576
Cu 0.666 0.666 0.003
Cu 0.334 0.334 0.997